Fe2GeOs, relaxed, DFT PBE; electronic total energy = -8.083 eV/atom
1.0
0.0000 2.9576 2.9576
2.9576 0.0000 2.9576
2.9576 2.9576 0.0000
Fe Ge Os
2 1 1
Direct
0.0000 0.0000 0.0000
0.2500 0.2500 0.2500
0.5000 0.5000 0.5000
0.7500 0.7500 0.7500

Er5NiPb3, relaxed, DFT PBE; electronic total energy = -4.907 eV/atom
1.0
9.0875 0.0000 0.0000
-4.5437 7.8700 0.0000
0.0000 0.0000 6.6412
Er Ni Pb
10 2 6
Direct
0.0000 0.2379 0.2500
0.0000 0.7621 0.7500
0.2379 0.0000 0.2500
0.2379 0.2379 0.7500
0.3333 0.6667 0.0000
0.3333 0.6667 0.5000
0.6667 0.3333 0.0000
0.6667 0.3333 0.5000
0.7621 0.0000 0.7500
0.7621 0.7621 0.2500
0.0000 0.0000 0.0000
0.0000 0.0000 0.5000
0.0000 0.3993 0.7500
0.0000 0.6007 0.2500
0.3993 0.0000 0.7500
0.3993 0.3993 0.2500
0.6007 0.0000 0.2500
0.6007 0.6007 0.7500

Zn2Ir, relaxed, DFT PBE; E_form = 3.1 eV/f.u.; electronic total energy = -2.776 eV/atom
1.0
0.0000 5.4947 5.4947
5.4947 0.0000 5.4947
5.4947 5.4947 0.0000
Zn Ir
4 2
Direct
0.0000 0.0000 0.0000
0.0000 0.0000 0.5000
0.0000 0.5000 0.0000
0.5000 0.0000 0.0000
0.1250 0.1250 0.1250
0.8750 0.8750 0.8750

ReN2, relaxed, DFT PBE; electronic total energy = -9.427 eV/atom
1.0
2.4747 -1.4281 0.0000
2.4747 1.4281 0.0000
-2.0587 0.0000 8.8372
Re N
2 4
Direct
0.0000 0.0000 0.0000
0.1872 0.1872 0.4464
0.6109 0.6109 0.8652
0.7264 0.7264 0.1441
0.7933 0.7933 0.3021
0.9103 0.9103 0.5811

- What is the electronic total energy in the fourth record?
  -9.427 eV/atom